No. 1
Material: MgB3S
Method: DFT, PBE-GGA
State: relaxed

The structure in extended XYZ format:
```
5
Lattice="3.907 0.000 0.000 0.000 3.907 0.000 0.000 0.000 3.907" Properties=species:S:1:pos:R:3 pbc="T T T"
Mg 0.000 0.000 0.000
B 0.000 1.954 1.954
B 1.954 0.000 1.954
B 1.954 1.954 0.000
S 1.954 1.954 1.954
```

M_tot (Bohr magnetons per cell): 0.00
Relative energy among the computed polymorphs (meV/atom): 0
ΔE_f (raw) (kJ/mol of formula units): 727
Symmetry: Pm-3m

=====

No. 2
Material: LaPm2SmTl2
Method: DFT, PBE-GGA
State: relaxed

The structure in extended XYZ format:
```
12
Lattice="5.270 0.000 0.000 0.000 10.367 0.000 0.000 0.000 6.916" Properties=species:S:1:pos:R:3 pbc="T T T"
La 0.000 0.466 0.000
La 0.000 9.901 3.458
Pm 0.000 3.294 2.613
Pm 0.000 7.073 6.071
Pm 2.635 4.718 0.722
Pm 2.635 5.649 4.180
Sm 2.635 1.969 5.067
Sm 2.635 8.398 1.609
Tl 0.000 3.797 5.856
Tl 0.000 6.571 2.398
Tl 2.635 1.414 1.845
Tl 2.635 8.953 5.303
```

Energy of formation from the pure elements (kcal/mol of atoms): -6.36
M_tot (Bohr magnetons per cell): 0.00
Symmetry: Pmc2_1

=====

No. 3
Material: BeTl3
Method: DFT, PBE-GGA
State: relaxed

The structure in extended XYZ format:
```
4
Lattice="-1.782 4.623 3.113 1.782 -4.623 3.113 1.782 4.623 -3.113" Properties=species:S:1:pos:R:3 pbc="T T T"
Be 0.000 0.000 0.000
Tl 1.782 -1.713 1.337
Tl 1.782 1.713 1.337
Tl 0.000 4.623 1.079
```

Energy of formation from the pure elements (kcal/mol of atoms): 9.42
M_tot (Bohr magnetons per cell): 0.00
Relative energy among the computed polymorphs (meV/atom): 90
Symmetry: Imm2

=====

No. 4
Material: LiAcCd2
Method: DFT, PBE-GGA
State: relaxed

The structure in extended XYZ format:
```
4
Lattice="5.578 0.000 0.000 0.000 5.578 0.000 0.000 0.000 3.800" Properties=species:S:1:pos:R:3 pbc="T T T"
Li 0.000 0.000 0.000
Ac 2.789 2.789 0.000
Cd 0.000 2.789 1.900
Cd 2.789 0.000 1.900
```

Energy of formation from the pure elements (kcal/mol of atoms): -3.15
M_tot (Bohr magnetons per cell): 0.00
Relative energy among the computed polymorphs (meV/atom): 123
Symmetry: P4/mmm

=====

No. 5
Material: AlMoP2Cl
Method: DFT, PBE-GGA
State: relaxed

The structure in extended XYZ format:
```
5
Lattice="4.682 0.000 0.000 0.000 4.682 0.000 0.000 0.000 4.546" Properties=species:S:1:pos:R:3 pbc="T T T"
Al 0.000 0.000 0.000
Mo 2.341 2.341 2.273
P 0.000 2.341 0.000
P 2.341 0.000 0.000
Cl 0.000 0.000 2.273
```

M_tot (Bohr magnetons per cell): 2.99
Relative energy among the computed polymorphs (meV/atom): 451
ΔE_f (raw) (kJ/mol of formula units): 358
Symmetry: P4/mmm

=====

No. 6
Material: Fe2SiW
Method: DFT, PBE-GGA
State: relaxed

The structure in extended XYZ format:
```
4
Lattice="-1.498 2.037 4.045 1.498 -2.037 4.045 1.498 2.037 -4.045" Properties=species:S:1:pos:R:3 pbc="T T T"
Fe 0.000 0.000 0.000
Fe 0.000 2.037 1.954
Si 1.498 0.000 1.835
W 0.000 0.000 3.929
```

M_tot (Bohr magnetons per cell): 2.01
ΔE_f (raw) (kJ/mol of formula units): -43
Symmetry: Imm2

=====

No. 7
Material: La5Pm4Pr
Method: DFT, PBE-GGA
State: relaxed

The structure in extended XYZ format:
```
10
Lattice="3.654 0.000 0.000 1.817 8.948 0.000 0.010 0.009 11.303" Properties=species:S:1:pos:R:3 pbc="T T T"
La 0.000 0.000 0.000
La 1.821 3.118 0.665
La 1.828 3.131 4.999
La 3.653 5.826 6.305
La 3.660 5.838 10.638
Pm 1.822 6.280 2.811
Pm 1.833 0.491 2.829
Pm 3.648 8.465 8.474
Pm 3.659 2.677 8.492
Pr 0.005 0.004 5.652
```

Energy of formation from the pure elements (kcal/mol of atoms): 3.38
M_tot (Bohr magnetons per cell): 0.00
Relative energy among the computed polymorphs (meV/atom): 127
Symmetry: P-1

=====

No. 8
Material: La2TbPmHo5
Method: DFT, PBE-GGA
State: relaxed

The structure in extended XYZ format:
```
18
Lattice="-4.336 4.336 7.889 4.336 -4.336 7.889 4.336 4.336 -7.889" Properties=species:S:1:pos:R:3 pbc="T T T"
La 5.355 1.019 0.000
La 1.019 3.317 0.000
La 3.317 1.019 7.889
La -1.019 3.317 7.889
Tb 4.336 0.000 3.945
Tb 0.000 4.336 3.945
Pm 0.000 0.000 3.945
Pm 0.000 0.000 11.834
Ho 0.000 0.000 0.000
Ho 2.471 1.865 -2.227
Ho 2.471 -1.865 5.663
Ho 2.471 1.865 2.227
Ho 2.471 -1.865 10.116
Ho 0.000 0.000 7.889
Ho 1.865 6.201 -2.227
Ho 1.865 2.471 5.663
Ho 1.865 6.201 2.227
Ho 1.865 2.471 10.116
```

Energy of formation from the pure elements (kcal/mol of atoms): 5.85
M_tot (Bohr magnetons per cell): 0.01
Symmetry: I4/mcm

=====

No. 9
Material: NpZnAgPt
Method: DFT, PBE-GGA
State: relaxed

The structure in extended XYZ format:
```
4
Lattice="0.000 3.392 3.392 3.392 0.000 3.392 3.392 3.392 0.000" Properties=species:S:1:pos:R:3 pbc="T T T"
Np 0.000 0.000 0.000
Zn 3.392 3.392 3.392
Ag 5.088 5.088 5.088
Pt 1.696 1.696 1.696
```

Energy of formation from the pure elements (kcal/mol of atoms): -1.76
M_tot (Bohr magnetons per cell): 3.84
Symmetry: F-43m

=====

No. 10
Material: GaPRhCl2
Method: DFT, PBE-GGA
State: relaxed

The structure in extended XYZ format:
```
5
Lattice="4.571 0.000 0.000 0.000 4.571 0.000 0.000 0.000 5.340" Properties=species:S:1:pos:R:3 pbc="T T T"
Ga 0.000 0.000 0.000
P 2.286 2.286 2.670
Rh 0.000 0.000 2.670
Cl 0.000 2.286 0.000
Cl 2.286 0.000 0.000
```

M_tot (Bohr magnetons per cell): 0.94
Relative energy among the computed polymorphs (meV/atom): 763
ΔE_f (raw) (kJ/mol of formula units): 335
Symmetry: P4/mmm

=====

No. 11
Material: TaSi2Br
Method: DFT, PBE-GGA
State: relaxed

The structure in extended XYZ format:
```
4
Lattice="3.216 0.000 0.000 0.000 3.216 0.000 0.000 0.000 7.923" Properties=species:S:1:pos:R:3 pbc="T T T"
Ta 0.000 0.000 0.000
Si 0.000 0.000 5.281
Si 1.608 1.608 6.450
Br 1.608 1.608 1.783
```

M_tot (Bohr magnetons per cell): 0.00
Relative energy among the computed polymorphs (meV/atom): 49
ΔE_f (raw) (kJ/mol of formula units): 26
Symmetry: P4mm

=====

No. 12
Material: Tb3YTmSc
Method: DFT, PBE-GGA
State: relaxed

The structure in extended XYZ format:
```
12
Lattice="7.811 0.000 0.000 0.000 4.970 0.000 -3.155 0.000 9.388" Properties=species:S:1:pos:R:3 pbc="T T T"
Tb 1.190 1.243 0.412
Tb -1.153 3.728 7.421
Tb -0.343 1.243 5.091
Tb 4.999 3.728 4.297
Tb 5.809 1.243 1.967
Tb 3.466 3.728 8.976
Y 0.423 3.728 2.779
Y 4.233 1.243 6.609
Tm 1.153 1.243 8.195
Tm 3.503 3.728 1.193
Sc 2.713 1.243 3.544
Sc 1.944 3.728 5.844
```

Energy of formation from the pure elements (kcal/mol of atoms): 0.87
M_tot (Bohr magnetons per cell): 0.00
Symmetry: P2_1/m